(1)
! Li2CrFe | Alexandria via LeMat-Bulk | GGA-PBE | optimized geometry; values from VASP
&SYSTEM
  ibrav = 0, nat = 4, ntyp = 3
/
ATOMIC_SPECIES
Li 6.94 Li.upf
Cr 52.00 Cr.upf
Fe 55.84 Fe.upf
CELL_PARAMETERS angstrom
2.4262 0.0000 0.0000
0.0000 4.6294 0.0000
-0.4685 0.0000 4.4557
ATOMIC_POSITIONS angstrom
Li 0.4516 0.0000 1.1333
Li 1.5062 0.0000 3.3225
Cr 1.2131 2.3147 0.0000
Fe -0.2343 2.3147 2.2279
! - ρ (g cm⁻³) = 4.04
! - formation enthalpy at 0 K (eV per atom) = 0.3785
! - total magnetization (μB/cell) = 0.64

(2)
! Li2CrFe | Alexandria via LeMat-Bulk | GGA-PBE | optimized geometry; values from VASP
&SYSTEM
  ibrav = 0, nat = 4, ntyp = 3
/
ATOMIC_SPECIES
Li 6.94 Li.upf
Cr 52.00 Cr.upf
Fe 55.84 Fe.upf
CELL_PARAMETERS angstrom
1.3422 -1.9870 0.0000
1.3422 1.9870 0.0000
0.0000 0.0000 9.2279
ATOMIC_POSITIONS angstrom
Li 0.0000 0.0000 2.2560
Li 0.0000 0.0000 6.9719
Cr 1.3422 0.0000 4.6139
Fe 1.3422 0.0000 0.0000
! - ρ (g cm⁻³) = 4.11
! - formation enthalpy at 0 K (eV per atom) = 0.3687
! - total magnetization (μB/cell) = 2.11

(3)
! Li2CrFe | Alexandria via LeMat-Bulk | GGA-PBE | optimized geometry; values from VASP
&SYSTEM
  ibrav = 0, nat = 4, ntyp = 3
/
ATOMIC_SPECIES
Li 6.94 Li.upf
Cr 52.00 Cr.upf
Fe 55.84 Fe.upf
CELL_PARAMETERS angstrom
2.3454 0.0000 0.0000
0.0000 4.4763 0.0000
0.0000 0.0000 4.6128
ATOMIC_POSITIONS angstrom
Li 0.0000 0.0000 1.1340
Li 0.0000 0.0000 3.4788
Cr 1.1727 2.2382 2.3064
Fe 1.1727 2.2382 0.0000
! - ρ (g cm⁻³) = 4.17
! - formation enthalpy at 0 K (eV per atom) = 0.4353
! - total magnetization (μB/cell) = 0.81

(4)
! LiCr2Fe | Alexandria via LeMat-Bulk | GGA-PBE | optimized geometry; values from VASP
&SYSTEM
  ibrav = 0, nat = 4, ntyp = 3
/
ATOMIC_SPECIES
Li 6.94 Li.upf
Cr 52.00 Cr.upf
Fe 55.84 Fe.upf
CELL_PARAMETERS angstrom
1.2510 0.7223 8.8181
-1.2510 0.7223 8.8181
0.0000 -1.4445 8.8181
ATOMIC_POSITIONS angstrom
Li 0.0000 0.0000 0.0000
Cr 0.0000 0.0000 6.4154
Cr 0.0000 0.0000 20.0388
Fe 0.0000 0.0000 13.2271
! - ρ (g cm⁻³) = 5.79
! - formation enthalpy at 0 K (eV per atom) = 0.3529
! - total magnetization (μB/cell) = 0.01

ρ of number 3 (Li2CrFe)? 4.17 g cm⁻³